This record from Alexandria via LeMat-Bulk describes an optimized crystal structure of CaRuN3. The functional is PBE.

Cell: 3.886 3.886 3.886 Å, 90.00 90.00 90.00°
Positions (direct):
Ru (0.000, 0.000, 0.000)
Ca (0.500, 0.500, 0.500)
N (0.000, 0.500, 0.000)
N (0.000, 0.000, 0.500)
N (0.500, 0.000, 0.000)

Summary:
formation energy from raw total energies = 0.30 eV per atom
VASP energy = -6.95 eV/atom
crystal system = cubic

=====

This record from Alexandria via LeMat-Bulk describes an optimized crystal structure of K2RbSn. The functional is PBE.

Cell: 5.481 5.872 5.872 Å, 90.00 90.00 90.00°
Site moments in Bohr magnetons follow the coordinates.
Positions (direct):
K (0.000, 0.000, 0.500)  0.00
K (0.000, 0.500, 0.000)  0.00
Sn (0.500, 0.000, 0.000)  0.24
Rb (0.500, 0.500, 0.500)  0.01

Summary:
VASP energy = -1.75 eV/atom
ΔE_f = 0.039 eV per atom
crystal system = tetragonal

=====

no.,ρ (g cm⁻³),D(E_F) (states/eV/cell)
1,5.18,3.51
2,2.48,3.33